1.
Below is a relaxed LiCo2As crystal, with properties calculated at the PBE level.

Fermi-level density of states = 1.381 states/eV/atom
DFT total energy = -5.1810 eV/atom

a b c (Å): 3.074 3.074 5.132
angles (deg): 90.00 90.00 90.00
Space group P4mm (No. 99)
One atom of each set of equivalent atoms:
1 Li 0.000 0.000 0.000 [1 per cell]
2 Co 0.000 0.000 0.504 [1 per cell]
3 Co 0.500 0.500 0.761 [1 per cell]
4 As 0.500 0.500 0.275 [1 per cell]

=====

2.
Below is a relaxed Cd2MoW crystal, with properties calculated at the PBE level.

Fermi-level density of states = 0.574 states/eV/atom
DFT total energy = -5.8108 eV/atom

a b c (Å): 3.917 3.917 9.282
angles (deg): 90.00 90.00 90.00
Space group I4/mmm (No. 139)
One atom of each set of equivalent atoms:
1 Cd 0.000 0.500 0.250 [4 per cell]
2 Mo 0.000 0.000 0.000 [2 per cell]
3 W 0.000 0.000 0.500 [2 per cell]